{"formula": "Pa2Bi3Pd", "functional": "PBE", "state": "optimized geometry", "crystal_system": "orthorhombic", "formation_energy_ev_per_atom": -0.282, "relative_energy_ev_per_atom": 0.000, "final_energy_ev_per_cell": -150.07, "lattice": [[-3.892, -1.507, 1.842], [5.214, -1.414, 9.859], [-3.085, 12.076, 3.364]], "species": ["Pa", "Pa", "Pa", "Pa", "Pa", "Pa", "Pa", "Pa", "Bi", "Bi", "Bi", "Bi", "Bi", "Bi", "Bi", "Bi", "Bi", "Bi", "Bi", "Bi", "Pd", "Pd", "Pd", "Pd"], "fractional_positions": [[0.250, 0.657, 0.504], [0.750, 0.343, 0.496], [0.750, 0.157, 0.996], [0.250, 0.843, 0.004], [0.250, 0.987, 0.329], [0.750, 0.013, 0.671], [0.750, 0.487, 0.171], [0.250, 0.513, 0.829], [0.250, 0.358, 0.038], [0.750, 0.642, 0.962], [0.750, 0.858, 0.462], [0.250, 0.142, 0.538], [0.250, 0.693, 0.245], [0.750, 0.307, 0.755], [0.750, 0.193, 0.255], [0.250, 0.807, 0.745], [0.250, 0.406, 0.333], [0.750, 0.594, 0.667], [0.750, 0.906, 0.167], [0.250, 0.094, 0.833], [0.250, 0.080, 0.115], [0.750, 0.920, 0.885], [0.750, 0.580, 0.385], [0.250, 0.420, 0.615]]}